The following is a GGA-PBE calculation of an optimized crystal structure of Li2BAsPd6, from Alexandria.

Lattice parameters (Å, degrees): 5.3100 6.8135 6.9000 56.32 52.44 84.69
Last column: nearest neighbours and their distance in Å.
Element x y z (fractional)
Li 0.6972 0.1381 0.6472  8 Pd 2.70-2.94, 1 As 2.76
Li 0.3028 0.8620 0.3528  8 Pd 2.70-2.94, 1 As 2.76
B 0.5000 0.5000 0.0000  6 Pd 2.04-2.12
As 0.0000 0.0000 0.0000  6 Pd 2.43-2.54
Pd 0.3579 0.1957 0.4355  1 B 2.12
Pd 0.8491 0.6978 0.9487  1 B 2.12
Pd 0.1486 0.6341 0.1995  1 B 2.04
Pd 0.8514 0.3659 0.8005  1 B 2.04
Pd 0.1509 0.3022 0.0513  1 B 2.12
Pd 0.6421 0.8043 0.5645  1 B 2.12

Properties
Crystal system: triclinic
Symmetry: P-1, No. 2
Energy relative to the elements (meV per atom): -389

---

The following is a GGA-PBE calculation of an optimized crystal structure of Li2B2AsPt5, from Alexandria.

Lattice parameters (Å, degrees): 3.0935 9.4631 9.4631 90.00 90.00 90.00
Last column: nearest neighbours and their distance in Å.
Element x y z (fractional)
Li 0.0000 0.6743 0.1743  3 B 2.68-2.88, 10 Pt 2.80-2.98
Li 0.0000 0.3257 0.8257  3 B 2.68-2.88, 10 Pt 2.80-2.98
Li 0.0000 0.1743 0.3257  3 B 2.68-2.88, 10 Pt 2.80-2.98
Li 0.0000 0.8257 0.6743  3 B 2.68-2.88, 10 Pt 2.80-2.98
B 0.0000 0.1257 0.6257  6 Pt 2.20-2.29
B 0.0000 0.8743 0.3743  6 Pt 2.20-2.29
B 0.0000 0.6257 0.8743  6 Pt 2.20-2.29
B 0.0000 0.3743 0.1257  6 Pt 2.20-2.29
As 0.0000 0.0000 0.0000  8 Pt 2.67
As 0.0000 0.5000 0.5000  8 Pt 2.67
Pt 0.5000 0.2183 0.0727  2 B 2.20
Pt 0.5000 0.7817 0.9273  2 B 2.20
Pt 0.5000 0.0727 0.7817  2 B 2.20
Pt 0.5000 0.7183 0.4273  2 B 2.20
Pt 0.5000 0.9273 0.2183  2 B 2.20
Pt 0.5000 0.2817 0.5727  2 B 2.20
Pt 0.5000 0.5727 0.7183  2 B 2.20
Pt 0.5000 0.4273 0.2817  2 B 2.20
Pt 0.5000 0.5000 0.0000  4 B 2.29
Pt 0.5000 0.0000 0.5000  4 B 2.29

Properties
Crystal system: tetragonal
Symmetry: P4/mbm, No. 127
Energy relative to the elements (meV per atom): -443

---

The following is a GGA-PBE calculation of an optimized crystal structure of Li2BAsS4, from Alexandria.

Lattice parameters (Å, degrees): 5.6146 6.4320 8.1949 90.00 90.00 90.00
Last column: nearest neighbours and their distance in Å.
Element x y z (fractional)
Li 0.4821 0.3265 0.2481  4 S 2.45-2.49
Li 0.4821 0.3265 0.7519  4 S 2.45-2.49
Li 0.9821 0.6735 0.7481  4 S 2.45-2.49
Li 0.9821 0.6735 0.2519  4 S 2.45-2.49
B 0.4972 0.8496 0.5000  4 S 1.91-1.98
B 0.9972 0.1504 0.0000  4 S 1.91-1.98
As 0.9807 0.1944 0.5000  2 S 2.28-2.33
As 0.4807 0.8056 0.0000  2 S 2.28-2.33
S 0.3497 0.1414 0.0000  1 B 1.98
S 0.8497 0.8586 0.5000  1 B 1.98
S 0.3899 0.1377 0.5000  1 B 1.95
S 0.8899 0.8623 0.0000  1 B 1.95
S 0.4091 0.7005 0.6919  1 B 1.91
S 0.9091 0.2995 0.1919  1 B 1.91
S 0.9091 0.2995 0.8081  1 B 1.91
S 0.4091 0.7005 0.3081  1 B 1.91

Properties
Crystal system: orthorhombic
Symmetry: Pmn2_1, No. 31
Uncorrected energy (eV per atom): -4.61

---

The following is a GGA-PBE calculation of an optimized crystal structure of LiBAs2Se, from Alexandria.

Lattice parameters (Å, degrees): 4.5277 4.5277 4.6519 90.00 90.00 90.00
Last column: nearest neighbours and their distance in Å.
Element x y z (fractional)
As 0.0000 0.5000 0.0000  2 Li 2.26
As 0.5000 0.0000 0.0000  2 Li 2.26
B 0.5000 0.5000 0.5000  4 Se 3.20, 8 As 3.25
Se 0.0000 0.0000 0.5000  2 Li 2.33
Li 0.0000 0.0000 0.0000  4 As 2.26, 2 Se 2.33

Properties
Crystal system: tetragonal
Distance to the lowest polymorph of the same formula (eV/f.u.): 3.842
Symmetry: P4/mmm, No. 123

---

The following is a GGA-PBE calculation of an optimized crystal structure of LiBAsSe2, from Alexandria.

Lattice parameters (Å, degrees): 4.8141 4.8141 4.0623 90.00 90.00 90.00
Last column: nearest neighbours and their distance in Å.
Element x y z (fractional)
As 0.0000 0.0000 0.5000  2 B 2.03
B 0.0000 0.0000 0.0000  2 As 2.03
Se 0.0000 0.5000 0.0000  2 B 2.41
Se 0.5000 0.0000 0.0000  2 B 2.41
Li 0.5000 0.5000 0.5000  8 Se 3.15, 4 As 3.40

Properties
Crystal system: tetragonal
Distance to the lowest polymorph of the same formula (eV/f.u.): 0.000
Symmetry: P4/mmm, No. 123

---

The following is a GGA-PBE calculation of an optimized crystal structure of LiBAs2Se, from Alexandria.

Lattice parameters (Å, degrees): 5.2271 3.9856 5.2271 90.00 90.00 90.00
Last column: nearest neighbours and their distance in Å.
Element x y z (fractional)
As 0.0000 0.0000 0.5000  2 Se 2.61
As 0.5000 0.0000 0.0000  2 Se 2.61
B 0.0000 0.5000 0.0000  2 Se 1.99
Se 0.0000 0.0000 0.0000  2 B 1.99
Li 0.5000 0.5000 0.5000  8 As 3.29

Properties
Crystal system: tetragonal
Distance to the lowest polymorph of the same formula (eV/f.u.): 2.335
Symmetry: P4/mmm, No. 123

---

The following is a GGA-PBE calculation of an optimized crystal structure of LiBAs2Se, from Alexandria.

Lattice parameters (Å, degrees): 4.2615 4.2615 5.1410 90.00 90.00 90.00
Last column: nearest neighbours and their distance in Å.
Element x y z (fractional)
As 0.0000 0.5000 0.0000  2 B 2.13
As 0.5000 0.0000 0.0000  2 B 2.13
B 0.0000 0.0000 0.0000  4 As 2.13
Se 0.0000 0.0000 0.5000  2 B 2.57
Li 0.5000 0.5000 0.5000  4 Se 3.01, 8 As 3.34

Properties
Crystal system: tetragonal
Distance to the lowest polymorph of the same formula (eV/f.u.): 0.000
Symmetry: P4/mmm, No. 123

---

The following is a GGA-PBE calculation of an optimized crystal structure of LiBAsSe2, from Alexandria.

Lattice parameters (Å, degrees): 4.7596 4.7596 4.3881 90.00 90.00 90.00
Last column: nearest neighbours and their distance in Å.
Element x y z (fractional)
As 0.0000 0.0000 0.5000  2 Li 2.19
B 0.5000 0.5000 0.5000  8 Se 3.24, 4 As 3.37
Se 0.0000 0.5000 0.0000  2 Li 2.38
Se 0.5000 0.0000 0.0000  2 Li 2.38
Li 0.0000 0.0000 0.0000  2 As 2.19, 4 Se 2.38

Properties
Crystal system: tetragonal
Distance to the lowest polymorph of the same formula (eV/f.u.): 4.165
Symmetry: P4/mmm, No. 123

---

The following is a GGA-PBE calculation of an optimized crystal structure of LiTaBAs2, from Alexandria.

Lattice parameters (Å, degrees): 4.4774 4.2982 4.4774 90.00 90.00 90.00
Last column: nearest neighbours and their distance in Å.
Element x y z (fractional)
As 0.0000 0.0000 0.5000  2 B 2.24
As 0.5000 0.0000 0.0000  2 B 2.24
B 0.0000 0.0000 0.0000  2 Ta 2.15, 4 As 2.24
Li 0.5000 0.5000 0.5000  8 As 3.10, 4 Ta 3.17
Ta 0.0000 0.5000 0.0000  2 B 2.15

Properties
Crystal system: tetragonal
Symmetry: P4/mmm, No. 123
Energy relative to the elements (meV per atom): 612

---

The following is a GGA-PBE calculation of an optimized crystal structure of Li2TaBAs, from Alexandria.

Lattice parameters (Å, degrees): 3.9328 4.4782 3.9328 90.00 90.00 90.00
Last column: nearest neighbours and their distance in Å.
Element x y z (fractional)
As 0.0000 0.5000 0.0000  2 B 2.24
B 0.0000 0.0000 0.0000  4 Li 1.97
Li 0.0000 0.0000 0.5000  2 B 1.97
Li 0.5000 0.0000 0.0000  2 B 1.97
Ta 0.5000 0.5000 0.5000  4 As 2.78, 8 Li 2.98

Properties
Crystal system: tetragonal
Symmetry: P4/mmm, No. 123
Energy relative to the elements (meV per atom): 771

---

The following is a GGA-PBE calculation of an optimized crystal structure of Li2BTeAs, from Alexandria.

Lattice parameters (Å, degrees): 4.6319 5.7070 4.6319 90.00 90.00 90.00
Last column: nearest neighbours and their distance in Å.
Element x y z (fractional)
As 0.0000 0.0000 0.0000  4 Li 2.32
Te 0.0000 0.5000 0.0000  2 As 2.85
B 0.5000 0.5000 0.5000  4 Te 3.28
Li 0.0000 0.0000 0.5000  2 As 2.32
Li 0.5000 0.0000 0.0000  2 As 2.32

Properties
Crystal system: tetragonal
Symmetry: P4/mmm, No. 123
Uncorrected energy (eV per atom): -2.94

---

The following is a GGA-PBE calculation of an optimized crystal structure of LiTlBAs2, from Alexandria.

Lattice parameters (Å, degrees): 4.3732 5.4630 4.3732 90.00 90.00 90.00
Last column: nearest neighbours and their distance in Å.
Element x y z (fractional)
Tl 0.0000 0.5000 0.0000  2 B 2.73
B 0.0000 0.0000 0.0000  4 As 2.19
As 0.0000 0.0000 0.5000  2 B 2.19
As 0.5000 0.0000 0.0000  2 B 2.19
Li 0.5000 0.5000 0.5000  4 Tl 3.09

Properties
Crystal system: tetragonal
Symmetry: P4/mmm, No. 123
Energy relative to the elements (meV per atom): 530

---

The following is a GGA-PBE calculation of an optimized crystal structure of MgBAs, from Alexandria.

Lattice parameters (Å, degrees): 8.2388 3.3752 8.2460 90.00 109.18 90.00
Last column: nearest neighbours and their distance in Å.
Element x y z (fractional)
As 0.1215 0.0000 0.2203  2 B 2.11
As 0.1215 0.5000 0.7203  2 B 2.11
As 0.6090 0.0000 0.1661  2 B 2.10
As 0.6090 0.5000 0.6661  2 B 2.10
B 0.9623 0.0000 0.6994  1 B 1.61
B 0.9623 0.5000 0.1994  1 B 1.61
B 0.7566 0.0000 0.6550  1 B 1.61
B 0.7566 0.5000 0.1550  1 B 1.61
Mg 0.8039 0.0000 0.9492  3 B 2.33-2.51
Mg 0.8039 0.5000 0.4492  3 B 2.33-2.51
Mg 0.2796 0.0000 0.9860  4 As 2.63-2.73, 1 B 2.89
Mg 0.2796 0.5000 0.4860  4 As 2.63-2.73, 1 B 2.89

Properties
Crystal system: monoclinic
Distance to the lowest polymorph of the same formula (eV/f.u.): 0.157
Symmetry: Cm, No. 8
Energy relative to the elements (meV per atom): -78